{"formula": "RbPdBr3", "functional": "PBE", "state": "relaxed", "dos_at_fermi_per_ev_cell": 6.99, "e_form_raw_mev_per_atom": -405, "sg": "I-4m2", "rho_g_cm3": 3.32, "lattice_angstrom": [[-2.6514, 2.6514, 15.3404], [2.6514, -2.6514, 15.3404], [2.6514, 2.6514, -15.3404]], "species": ["Rb", "Rb", "Pd", "Pd", "Br", "Br", "Br", "Br", "Br", "Br"], "frac_coords": [[0.0000, 0.0000, 0.0000], [0.7500, 0.2500, 0.5000], [0.2073, 0.7073, 0.5000], [0.2927, 0.7927, 0.5000], [0.3071, 0.3071, 0.0000], [0.3500, 0.0986, 0.2513], [0.6929, 0.6929, 0.0000], [0.8473, 0.0986, 0.7487], [0.9014, 0.1527, 0.2513], [0.9014, 0.6500, 0.7487]]}

{"formula": "Pu2U3Se8", "functional": "PBE", "state": "relaxed", "dos_at_fermi_per_ev_cell": 47.58, "e_form_raw_mev_per_atom": -1168, "sg": "C2/m", "de_polymorph_mev_per_atom": 60.2, "rho_g_cm3": 7.58, "lattice_angstrom": [[7.3252, -4.1409, 0.0000], [7.3252, 4.1409, 0.0000], [-2.3544, 0.0000, 6.6196]], "species": ["Pu", "Pu", "U", "U", "U", "Se", "Se", "Se", "Se", "Se", "Se", "Se", "Se"], "frac_coords": [[0.2415, 0.2415, 0.1570], [0.7585, 0.7585, 0.8430], [0.2397, 0.7603, 0.5000], [0.5000, 0.5000, 0.0000], [0.7603, 0.2397, 0.5000], [0.1154, 0.1154, 0.4157], [0.1432, 0.6158, 0.0851], [0.3842, 0.8568, 0.9149], [0.3846, 0.3846, 0.5800], [0.6154, 0.6154, 0.4200], [0.6158, 0.1432, 0.0851], [0.8568, 0.3842, 0.9149], [0.8846, 0.8846, 0.5843]]}

{"formula": "Tb2DyAu", "functional": "PBE", "state": "relaxed", "dos_at_fermi_per_ev_cell": 14.85, "sg": "Pnma", "de_polymorph_mev_per_atom": 0.0, "rho_g_cm3": 9.83, "lattice_angstrom": [[6.9811, 0.0000, 0.0000], [0.0000, 9.7997, 0.0000], [0.0000, 0.0000, 6.6866]], "species": ["Tb", "Tb", "Tb", "Tb", "Tb", "Tb", "Tb", "Tb", "Dy", "Dy", "Dy", "Dy", "Au", "Au", "Au", "Au"], "frac_coords": [[0.1963, 0.0547, 0.1921], [0.1963, 0.4453, 0.1921], [0.3037, 0.5547, 0.6921], [0.3037, 0.9453, 0.6921], [0.6963, 0.0547, 0.3079], [0.6963, 0.4453, 0.3079], [0.8037, 0.5547, 0.8079], [0.8037, 0.9453, 0.8079], [0.0138, 0.2500, 0.6200], [0.4862, 0.7500, 0.1200], [0.5138, 0.2500, 0.8800], [0.9862, 0.7500, 0.3800], [0.0907, 0.7500, 0.9581], [0.4093, 0.2500, 0.4581], [0.5907, 0.7500, 0.5419], [0.9093, 0.2500, 0.0419]]}

{"formula": "LaPr2SmEr4", "functional": "PBE", "state": "relaxed", "dos_at_fermi_per_ev_cell": 10.18, "sg": "P2/m", "rho_g_cm3": 7.81, "lattice_angstrom": [[6.2550, 0.0000, 0.0000], [0.0000, 3.6206, 0.0000], [-2.1080, 0.0000, 11.6358]], "species": ["La", "Pr", "Pr", "Sm", "Er", "Er", "Er", "Er"], "frac_coords": [[0.0000, 0.0000, 0.0000], [0.5000, 0.0000, 0.5000], [0.5000, 0.5000, 0.0000], [0.0000, 0.5000, 0.5000], [0.2490, 0.0000, 0.7485], [0.2503, 0.5000, 0.2518], [0.7497, 0.5000, 0.7482], [0.7510, 0.0000, 0.2515]]}

{"formula": "La2Pd2Se", "functional": "PBE", "state": "relaxed", "dos_at_fermi_per_ev_cell": 2.37, "e_form_raw_mev_per_atom": -1225, "sg": "R-3m", "de_polymorph_mev_per_atom": 0.0, "rho_g_cm3": 7.19, "lattice_angstrom": [[4.3785, 0.0000, 0.0000], [-2.1893, 3.7919, 0.0000], [0.0000, 0.0000, 23.7651]], "species": ["La", "La", "La", "La", "La", "La", "Pd", "Pd", "Pd", "Pd", "Pd", "Pd", "Se", "Se", "Se"], "frac_coords": [[0.0000, 0.0000, 0.0846], [0.0000, 0.0000, 0.9154], [0.3333, 0.6667, 0.5821], [0.3333, 0.6667, 0.7512], [0.6667, 0.3333, 0.2488], [0.6667, 0.3333, 0.4179], [0.0000, 0.0000, 0.3145], [0.0000, 0.0000, 0.6855], [0.3333, 0.6667, 0.3522], [0.3333, 0.6667, 0.9811], [0.6667, 0.3333, 0.0189], [0.6667, 0.3333, 0.6478], [0.0000, 0.0000, 0.5000], [0.3333, 0.6667, 0.1667], [0.6667, 0.3333, 0.8333]]}

{"formula": "In2MoRh", "functional": "PBE", "state": "relaxed", "dos_at_fermi_per_ev_cell": 2.60, "sg": "Pmm2", "de_polymorph_mev_per_atom": 106.1, "rho_g_cm3": 9.78, "lattice_angstrom": [[3.0208, 0.0000, 0.0000], [0.0000, 3.8830, 0.0000], [0.0000, 0.0000, 6.2032]], "species": ["In", "In", "Mo", "Rh"], "frac_coords": [[0.0000, 0.0000, 0.0000], [0.5000, 0.5000, 0.3008], [0.0000, 0.0000, 0.5384], [0.5000, 0.5000, 0.7647]]}

{"formula": "LaIrRh", "functional": "PBE", "state": "relaxed", "dos_at_fermi_per_ev_cell": 9.33, "sg": "F-43m", "de_polymorph_mev_per_atom": 996.0, "rho_g_cm3": 10.62, "lattice_angstrom": [[6.4754, 0.0000, 0.0000], [0.0000, 6.4754, 0.0000], [0.0000, 0.0000, 6.4754]], "species": ["La", "La", "La", "La", "Ir", "Ir", "Ir", "Ir", "Rh", "Rh", "Rh", "Rh"], "frac_coords": [[0.0000, 0.0000, 0.0000], [0.0000, 0.5000, 0.5000], [0.5000, 0.0000, 0.5000], [0.5000, 0.5000, 0.0000], [0.2500, 0.2500, 0.7500], [0.2500, 0.7500, 0.2500], [0.7500, 0.2500, 0.2500], [0.7500, 0.7500, 0.7500], [0.2500, 0.2500, 0.2500], [0.2500, 0.7500, 0.7500], [0.7500, 0.2500, 0.7500], [0.7500, 0.7500, 0.2500]]}

{"formula": "Ta3CoH4", "functional": "PBE", "state": "relaxed", "dos_at_fermi_per_ev_cell": 7.79, "sg": "Pmn2_1", "rho_g_cm3": 12.91, "lattice_angstrom": [[5.9806, 0.0000, 0.0000], [0.0000, 5.0933, 0.0000], [0.0000, 0.0000, 5.1158]], "species": ["Ta", "Ta", "Ta", "Ta", "Ta", "Ta", "Co", "Co", "H", "H", "H", "H", "H", "H", "H", "H"], "frac_coords": [[0.0000, 0.1916, 0.0000], [0.2472, 0.6629, 0.9932], [0.2528, 0.3371, 0.4932], [0.5000, 0.8084, 0.5000], [0.7472, 0.3371, 0.4932], [0.7528, 0.6629, 0.9932], [0.0000, 0.8499, 0.5061], [0.5000, 0.1501, 0.0061], [0.0000, 0.1312, 0.3646], [0.0000, 0.8470, 0.8248], [0.2143, 0.6930, 0.3690], [0.2857, 0.3070, 0.8690], [0.5000, 0.1530, 0.3248], [0.5000, 0.8688, 0.8646], [0.7143, 0.3070, 0.8690], [0.7857, 0.6930, 0.3690]]}

{"formula": "CdNiOs", "functional": "PBE", "state": "relaxed", "dos_at_fermi_per_ev_cell": 1.37, "sg": "P3m1", "de_polymorph_mev_per_atom": 0.0, "rho_g_cm3": 13.35, "lattice_angstrom": [[2.7745, 0.0000, 0.0000], [-1.3872, 2.4028, 0.0000], [0.0000, 0.0000, 6.7406]], "species": ["Cd", "Ni", "Os"], "frac_coords": [[0.0000, 0.0000, 0.0000], [0.3333, 0.6667, 0.3388], [0.6667, 0.3333, 0.6259]]}

{"formula": "Be3PtCl", "functional": "PBE", "state": "relaxed", "dos_at_fermi_per_ev_cell": 2.51, "e_form_raw_mev_per_atom": 259, "sg": "Pm-3m", "de_polymorph_mev_per_atom": 0.0, "rho_g_cm3": 5.01, "lattice_angstrom": [[4.4020, 0.0000, 0.0000], [0.0000, 4.4020, 0.0000], [0.0000, 0.0000, 4.4020]], "species": ["Be", "Be", "Be", "Pt", "Cl"], "frac_coords": [[0.0000, 0.0000, 0.5000], [0.0000, 0.5000, 0.0000], [0.5000, 0.0000, 0.0000], [0.0000, 0.0000, 0.0000], [0.5000, 0.5000, 0.5000]]}

{"formula": "K3LiSb", "functional": "PBE", "state": "relaxed", "dos_at_fermi_per_ev_cell": 3.76, "e_form_raw_mev_per_atom": -233, "sg": "Ima2", "de_polymorph_mev_per_atom": 0.0, "rho_g_cm3": 2.04, "lattice_angstrom": [[-6.4046, 4.0728, 3.8327], [6.4046, -4.0728, 3.8327], [6.4046, 4.0728, -3.8327]], "species": ["K", "K", "K", "K", "K", "K", "Li", "Li", "Sb", "Sb"], "frac_coords": [[0.2483, 0.0086, 0.2569], [0.2483, 0.4914, 0.7397], [0.6643, 0.4958, 0.6685], [0.7517, 0.5086, 0.2603], [0.7517, 0.9914, 0.7431], [0.8274, 0.9958, 0.3315], [0.2452, 0.7451, 0.0001], [0.7450, 0.2451, 0.9999], [0.2295, 0.4952, 0.2343], [0.2609, 0.9952, 0.7657]]}

{"formula": "LaZrSc2", "functional": "PBE", "state": "relaxed", "dos_at_fermi_per_ev_cell": 8.01, "sg": "P2/m", "de_polymorph_mev_per_atom": 116.0, "rho_g_cm3": 4.99, "lattice_angstrom": [[3.2696, 0.0000, 0.0000], [0.0000, 5.4281, 0.0000], [-0.6706, 0.0000, 6.0032]], "species": ["La", "Zr", "Sc", "Sc"], "frac_coords": [[0.0000, 0.0000, 0.0000], [0.5000, 0.0000, 0.5000], [0.2960, 0.5000, 0.7244], [0.7040, 0.5000, 0.2756]]}

E_tot for every record listed, in sequence, given in eV for the cell shown: -26.4, -105.6, -75.6, -37.3, -89.6, -23.0, -81.2, -112.3, -17.0, -17.8, -21.0, -25.5.